VASP calculation (PBE) on crystalline CrCuW2 at its relaxed geometry.

- Density of states at the Fermi level: 3.2 states/eV per cell
- ρ: 14.1 g/cm3
- Symmetry: Pmmm, No. 47
- DFT formation energy: 0.377 eV/atom
- Spin magnetization: 0.00 μB/cell
- Energy relative to the lowest polymorph listed for this composition: 135.3 meV per atom

abc: 2.6008 4.0435 5.4247
angles: 90.00 90.00 90.00
Positions (direct):
W 0.0000 0.0000 0.0024
W 0.0000 0.0000 0.4976
Cu 0.5000 0.5000 0.7500
Cr 0.5000 0.5000 0.2500

VASP calculation (PBE) on crystalline Cr2CuW at its relaxed geometry.

- Density of states at the Fermi level: 4.7 states/eV per cell
- ρ: 10.9 g/cm3
- Symmetry: R-3m, No. 166
- DFT formation energy: 0.498 eV/atom
- Spin magnetization: 0.00 μB/cell
- Energy relative to the lowest polymorph listed for this composition: 254.2 meV per atom

abc: 9.1527 9.1527 9.1527
angles: 16.47 16.47 16.47
Positions (direct):
Cu 0.2500 0.2500 0.2500
Cr 0.9960 0.9960 0.9960
Cr 0.5040 0.5040 0.5040
W 0.7500 0.7500 0.7500

VASP calculation (PBE) on crystalline CrCu4W at its relaxed geometry.

- Density of states at the Fermi level: 2.6 states/eV per cell
- ρ: 10.5 g/cm3
- Symmetry: F-43m, No. 216
- DFT formation energy: 0.322 eV/atom
- Spin magnetization: 2.05 μB/cell

abc: 4.7792 4.7792 4.7792
angles: 60.00 60.00 60.00
Last column: magnetic moment on the atom in μB.
Positions (direct):
W 0.7500 0.7500 0.7500  -0.88
Cu 0.8755 0.3748 0.3748  0.02
Cu 0.3748 0.3748 0.3748  0.02
Cu 0.3748 0.3748 0.8755  0.02
Cu 0.3748 0.8755 0.3748  0.02
Cr 0.0000 0.0000 0.0000  2.75

VASP calculation (PBE) on crystalline YCr2Cu at its relaxed geometry.

- Density of states at the Fermi level: 3.9 states/eV per cell
- ρ: 5.8 g/cm3
- Symmetry: P4/mmm, No. 123
- DFT formation energy: 0.526 eV/atom
- Spin magnetization: 7.52 μB/cell
- Energy relative to the lowest polymorph listed for this composition: 279.6 meV per atom

abc: 4.1367 4.1367 4.2694
angles: 90.00 90.00 90.00
Last column: magnetic moment on the atom in μB.
Positions (direct):
Cu 0.5000 0.0000 0.5000  0.05
Cr 0.5000 0.5000 0.0000  3.38
Cr 0.0000 0.0000 0.0000  3.38
Y 0.0000 0.5000 0.5000  0.03

VASP calculation (PBE) on crystalline Y2CrCu2 at its relaxed geometry.

- Density of states at the Fermi level: 11.0 states/eV per cell
- ρ: 5.7 g/cm3
- Symmetry: P4/mbm, No. 127
- DFT formation energy: 0.017 eV/atom
- Spin magnetization: 9.54 μB/cell

abc: 7.3675 7.3675 3.8407
angles: 90.00 90.00 90.00
Last column: magnetic moment on the atom in μB.
Positions (direct):
Cu 0.8791 0.6209 0.0000  0.05
Cu 0.6209 0.1209 0.0000  0.05
Cu 0.1209 0.3791 0.0000  0.05
Cu 0.3791 0.8791 0.0000  0.05
Y 0.3215 0.1785 0.5000  0.08
Y 0.1785 0.6785 0.5000  0.08
Y 0.6785 0.8215 0.5000  0.08
Y 0.8215 0.3215 0.5000  0.08
Cr 0.5000 0.5000 0.0000  3.69
Cr 0.0000 0.0000 0.0000  3.69

VASP calculation (PBE) on crystalline YCr2Cu at its relaxed geometry.

- Density of states at the Fermi level: 3.9 states/eV per cell
- ρ: 6.9 g/cm3
- Symmetry: P4/mmm, No. 123
- DFT formation energy: 0.766 eV/atom
- Spin magnetization: 0.00 μB/cell
- Energy relative to the lowest polymorph listed for this composition: 519.7 meV per atom

abc: 2.7135 2.7135 8.3304
angles: 90.00 90.00 90.00
Positions (direct):
Cu 0.5000 0.5000 0.2500
Y 0.5000 0.5000 0.7500
Cr 0.0000 0.0000 0.4596
Cr 0.0000 0.0000 0.0404

VASP calculation (PBE) on crystalline YCr2Cu at its relaxed geometry.

- Density of states at the Fermi level: 8.0 states/eV per cell
- ρ: 5.6 g/cm3
- Symmetry: I4_1/amd, No. 141
- DFT formation energy: 0.702 eV/atom
- Spin magnetization: 0.00 μB/cell
- Energy relative to the lowest polymorph listed for this composition: 455.8 meV per atom

abc: 4.0763 4.0763 9.5918
angles: 77.73 77.73 90.00
Positions (direct):
Cr 0.3750 0.6250 0.2500
Cr 0.3750 0.6250 0.7500
Cr 0.3750 0.1250 0.2500
Cr 0.8750 0.6250 0.7500
Cu 0.5000 0.5000 0.0000
Cu 0.2500 0.7500 0.5000
Y 0.0000 0.0000 0.0000
Y 0.7500 0.2500 0.5000

VASP calculation (PBE) on crystalline YCrCu4 at its relaxed geometry.

- Density of states at the Fermi level: 6.2 states/eV per cell
- ρ: 7.1 g/cm3
- Symmetry: F-43m, No. 216
- DFT formation energy: -0.024 eV/atom
- Spin magnetization: 4.71 μB/cell

abc: 5.0636 5.0636 5.0636
angles: 60.00 60.00 60.00
Last column: magnetic moment on the atom in μB.
Positions (direct):
Cu 0.8788 0.3737 0.3737  0.08
Cu 0.3737 0.3737 0.8788  0.08
Cu 0.3737 0.3737 0.3737  0.08
Cu 0.3737 0.8788 0.3737  0.08
Cr 0.0000 0.0000 0.0000  3.68
Y 0.7500 0.7500 0.7500  0.15

VASP calculation (PBE) on crystalline YCr2Cu at its relaxed geometry.

- Density of states at the Fermi level: 3.8 states/eV per cell
- ρ: 6.4 g/cm3
- Symmetry: P4mm, No. 99
- DFT formation energy: 0.249 eV/atom
- Spin magnetization: 0.09 μB/cell
- Energy relative to the lowest polymorph listed for this composition: 3.1 meV per atom

abc: 3.1006 3.1083 7.5981
angles: 65.89 90.00 90.00
Last column: magnetic moment on the atom in μB.
Positions (direct):
Y 0.5000 0.7519 0.7483  0.07
Cr 0.0000 0.9292 0.0706  -2.15
Cr 0.5000 0.2697 0.2299  2.16
Cu 0.0000 0.5492 0.4511  0.06

VASP calculation (PBE) on crystalline YCrCu2 at its relaxed geometry.

- Density of states at the Fermi level: 3.0 states/eV per cell
- ρ: 6.1 g/cm3
- Symmetry: Amm2, No. 38
- DFT formation energy: 0.169 eV/atom
- Spin magnetization: 4.17 μB/cell
- Energy relative to the lowest polymorph listed for this composition: 62.0 meV per atom

abc: 4.0497 3.5530 5.3739
angles: 70.70 90.00 90.00
Last column: magnetic moment on the atom in μB.
Positions (direct):
Cu 0.5000 0.0636 0.2497  0.04
Cu 0.0000 0.1988 0.9749  0.06
Y 0.0000 0.4704 0.4347  -0.01
Cr 0.5000 0.7672 0.8406  3.59

VASP calculation (PBE) on crystalline YCr2Cu at its relaxed geometry.

- Density of states at the Fermi level: 3.8 states/eV per cell
- ρ: 6.2 g/cm3
- Symmetry: C2/m, No. 12
- DFT formation energy: 0.456 eV/atom
- Spin magnetization: 0.00 μB/cell
- Energy relative to the lowest polymorph listed for this composition: 210.2 meV per atom

abc: 4.8266 4.8266 5.0187
angles: 74.93 74.93 37.79
Positions (direct):
Cr 0.4760 0.4760 0.6187
Cr 0.0240 0.0240 0.8813
Cu 0.7500 0.7500 0.7500
Y 0.2500 0.2500 0.2500

VASP calculation (PBE) on crystalline YCr2Cu at its relaxed geometry.

- Density of states at the Fermi level: 4.2 states/eV per cell
- ρ: 6.1 g/cm3
- Symmetry: P2/m, No. 10
- DFT formation energy: 0.615 eV/atom
- Spin magnetization: 2.61 μB/cell
- Energy relative to the lowest polymorph listed for this composition: 368.9 meV per atom

abc: 4.7030 3.3508 4.4383
angles: 85.12 90.00 90.00
Last column: magnetic moment on the atom in μB.
Positions (direct):
Y 0.5000 0.7500 0.7500  0.02
Cu 0.5000 0.2500 0.2500  0.05
Cr 0.0000 0.3386 0.5131  1.17
Cr 0.0000 0.1614 0.9869  1.17